Record 1
TbTmPbO2: optimized geometry, GGA-PBE.

a = 7.5663 Å, b = 7.5663 Å, c = 7.5663 Å
α = 150.71°, β = 150.71°, γ = 41.90°
Closest atoms and distances in Å follow each position.
Sites, in units of the cell vectors:
Tb  0.0000  0.0000  0.0000  4 O 2.24
Tm  0.3423  0.3423  0.0000  4 O 2.19
Pb  0.6718  0.6718  0.0000  4 Tm 3.62, 4 Tb 3.63, 4 Pb 3.83, 4 O 3.97
O  0.4179  0.9179  0.5000  2 Tm 2.19, 2 Tb 2.24
O  0.9179  0.4179  0.5000  2 Tm 2.19, 2 Tb 2.24

VASP energy	-0.26171	hartree per atom
ΔE_f (raw)	-59.4	kcal/mol of atoms

***

Record 2
TbUPbO6: optimized geometry, GGA-PBE.

a = 5.8743 Å, b = 5.8743 Å, c = 4.8449 Å
α = 90.00°, β = 90.00°, γ = 120.00°
Closest atoms and distances in Å follow each position.
Sites, in units of the cell vectors:
Tb  0.0000  0.0000  0.0000  6 O 2.28
U  0.3333  0.6667  0.0000  6 O 2.09
Pb  0.6667  0.3333  0.5000  6 O 2.49
O  0.0350  0.3582  0.2239  1 U 2.09, 1 Tb 2.28
O  0.0350  0.6768  0.7761  1 U 2.09, 1 Tb 2.28
O  0.3232  0.3582  0.7761  1 U 2.09, 1 Tb 2.28
O  0.3232  0.9650  0.2239  1 U 2.09, 1 Tb 2.28
O  0.6418  0.6768  0.2239  1 U 2.09, 1 Tb 2.28
O  0.6418  0.9650  0.7761  1 U 2.09, 1 Tb 2.28

VASP energy	-0.29609	hartree per atom
ΔE_f (raw)	-59.3	kcal/mol of atoms

***

The highest ΔE_f (raw) belongs to which entry?
TbUPbO6

***

Look up the VASP energy of the second one.
-0.29609 hartree per atom

***

Among the records above, which one has the highest ΔE_f (raw)?
TbUPbO6

***

Which of these has the highest ΔE_f (raw)?
TbUPbO6